No. 1
Here is a relaxed structure of Ru2Pt3 from Alexandria via LeMat-Bulk. Energies are from PBE.

a = 7.646 Å, b = 7.646 Å, c = 7.646 Å
α = 27.99°, β = 27.99°, γ = 27.99°
Atoms (fractional coordinates):
Pt  0.000  0.000  0.000
Pt  0.204  0.204  0.204
Pt  0.796  0.796  0.796
Ru  0.399  0.399  0.399
Ru  0.601  0.601  0.601

Properties
DFT formation energy in eV per atom: 0.7738
Energy in eV/cell: -32.81
DOS(E_F) in states/eV/atom: 1.4556


No. 2
Here is a relaxed structure of Sr2LiGe4Pd3 from Alexandria via LeMat-Bulk. Energies are from PBE.

a = 4.415 Å, b = 4.415 Å, c = 10.426 Å
α = 90.00°, β = 90.00°, γ = 90.00°
Atoms (fractional coordinates):
Ge  0.000  0.500  0.372
Ge  0.000  0.000  0.000
Ge  0.500  0.500  0.000
Ge  0.500  0.000  0.628
Sr  0.500  0.000  0.249
Sr  0.000  0.500  0.751
Li  0.500  0.500  0.500
Pd  0.000  0.500  0.127
Pd  0.000  0.000  0.500
Pd  0.500  0.000  0.873

Properties
DFT formation energy in eV per atom: -0.6179
Energy in eV/cell: -45.50
DOS(E_F) in states/eV/atom: 0.5667


No. 3
Here is a relaxed structure of Ti3CoB7 from Alexandria via LeMat-Bulk. Energies are from PBE.

a = 3.096 Å, b = 7.219 Å, c = 8.712 Å
α = 90.00°, β = 90.00°, γ = 102.38°
Atoms (fractional coordinates):
Ti  0.752  0.504  0.250
Ti  0.248  0.496  0.750
Ti  0.893  0.786  0.949
Ti  0.107  0.214  0.051
Ti  0.893  0.786  0.551
Ti  0.107  0.214  0.449
B  0.433  0.865  0.750
B  0.486  0.972  0.094
B  0.514  0.028  0.594
B  0.514  0.028  0.906
B  0.632  0.265  0.651
B  0.728  0.455  0.533
B  0.728  0.455  0.967
B  0.567  0.135  0.250
B  0.632  0.265  0.849
B  0.272  0.545  0.467
B  0.486  0.972  0.406
B  0.272  0.545  0.033
B  0.368  0.735  0.349
B  0.368  0.735  0.151
Co  0.953  0.905  0.250
Co  0.047  0.095  0.750

Properties
DFT formation energy in eV per atom: -0.8147
Energy in eV/cell: -172.99
DOS(E_F) in states/eV/atom: 0.2901